1.
The following is a DFT calculation (PBE) of a relaxed structure of ZrCrCd2As.

Unit cell a=5.487 b=5.487 c=5.034 alpha=90.00 beta=90.00 gamma=90.00
Space group P4/mmm (No. 123)
Inequivalent atoms, fractional coordinates:
Zr1 0.000 0.000 0.000 [1 per cell]
Cr1 0.500 0.500 0.500 [1 per cell]
Cd1 0.000 0.500 0.000 [2 per cell]
As1 0.000 0.000 0.500 [1 per cell]

Computed properties:
**ΔE_f**: 666 kJ/mol of formula units
**Total energy**: -17.75 eV per cell
**DOS at the Fermi energy**: 8.14 states/eV/cell

2.
The following is a DFT calculation (PBE) of a relaxed structure of MgVRh2.

Unit cell a=2.733 b=4.740 c=9.963 alpha=90.00 beta=90.00 gamma=90.00
Space group Immm (No. 71)
Inequivalent atoms, fractional coordinates:
Mg1 0.000 0.000 0.000 [2 per cell]
V1 0.000 0.000 0.500 [2 per cell]
Rh1 0.000 0.000 0.275 [4 per cell]

Computed properties:
**ΔE_f**: 85 kJ/mol of formula units
**Total energy**: -49.07 eV per cell
**DOS at the Fermi energy**: 6.22 states/eV/cell

3.
The following is a DFT calculation (PBE) of a relaxed structure of Sr2Zn2Ag.

Unit cell a=3.902 b=3.902 c=18.924 alpha=90.00 beta=90.00 gamma=90.00
Space group I4/mmm (No. 139)
Inequivalent atoms, fractional coordinates:
Sr1 0.000 0.000 0.104 [4 per cell]
Zn1 0.000 0.500 0.250 [4 per cell]
Ag1 0.000 0.000 0.500 [2 per cell]

Computed properties:
**ΔE_f**: -52 kJ/mol of formula units
**Total energy**: -18.60 eV per cell
**DOS at the Fermi energy**: 8.15 states/eV/cell

4.
The following is a DFT calculation (PBE) of a relaxed structure of Ba4SrBr10.

Unit cell a=12.224 b=12.224 c=7.726 alpha=90.00 beta=90.00 gamma=90.00
Space group I4/m (No. 87)
Inequivalent atoms, fractional coordinates:
Ba1 0.101 0.299 0.000 [8 per cell]
Sr1 0.000 0.000 0.500 [2 per cell]
Br1 0.000 0.500 0.250 [4 per cell]
Br2 0.098 0.805 0.256 [16 per cell]

Computed properties:
**Total energy**: -118.00 eV per cell
**DOS at the Fermi energy**: 0.00 states/eV/cell
**E_form (uncorrected)**: -211.6 kJ per mole of atoms

5.
The following is a DFT calculation (PBE) of a relaxed structure of HoZnInRu.

Unit cell a=6.725 b=6.725 c=6.725 alpha=90.00 beta=90.00 gamma=90.00
Space group F-43m (No. 216)
Inequivalent atoms, fractional coordinates:
Ho1 0.000 0.000 0.000 [4 per cell]
Zn1 0.250 0.250 0.250 [4 per cell]
In1 0.000 0.000 0.500 [4 per cell]
Ru1 0.250 0.250 0.750 [4 per cell]

Computed properties:
**ΔE_f**: -65 kJ/mol of formula units
**Total energy**: -74.16 eV per cell
**DOS at the Fermi energy**: 13.64 states/eV/cell

6.
The following is a DFT calculation (PBE) of a relaxed structure of K3Nd2SmO6.

Unit cell a=6.281 b=10.878 c=6.644 alpha=90.00 beta=108.37 gamma=90.00
Space group C2/m (No. 12)
Inequivalent atoms, fractional coordinates:
K1 0.000 0.000 0.000 [2 per cell]
K2 0.000 0.334 0.000 [4 per cell]
Nd1 0.000 0.167 0.500 [4 per cell]
Sm1 0.000 0.500 0.500 [2 per cell]
O1 0.228 0.335 0.691 [8 per cell]
O2 0.234 0.000 0.690 [4 per cell]

Computed properties:
**Total energy**: -157.64 eV per cell
**DOS at the Fermi energy**: 0.00 states/eV/cell
**E_form (uncorrected)**: -253.5 kJ per mole of atoms

7.
The following is a DFT calculation (PBE) of a relaxed structure of FeNiAsPt2.

Unit cell a=4.628 b=4.628 c=4.369 alpha=90.00 beta=90.00 gamma=90.00
Space group P4/mmm (No. 123)
Inequivalent atoms, fractional coordinates:
Fe1 0.000 0.000 0.000 [1 per cell]
Ni1 0.500 0.500 0.000 [1 per cell]
As1 0.000 0.000 0.500 [1 per cell]
Pt1 0.000 0.500 0.500 [2 per cell]

Computed properties:
**ΔE_f**: 383 kJ/mol of formula units
**Total energy**: -27.01 eV per cell
**DOS at the Fermi energy**: 5.41 states/eV/cell

8.
The following is a DFT calculation (PBE) of a relaxed structure of MgCr2Cu.

Unit cell a=3.146 b=4.434 c=8.303 alpha=90.00 beta=90.00 gamma=90.00
Space group Imm2 (No. 44)
Inequivalent atoms, fractional coordinates:
Mg1 0.000 0.000 0.000 [2 per cell]
Cr1 0.000 0.000 0.490 [2 per cell]
Cr2 0.000 0.500 0.775 [2 per cell]
Cu1 0.000 0.500 0.247 [2 per cell]

Computed properties:
**ΔE_f**: 133 kJ/mol of formula units
**Total energy**: -47.11 eV per cell
**DOS at the Fermi energy**: 4.97 states/eV/cell

9.
The following is a DFT calculation (PBE) of a relaxed structure of Li2Y.

Unit cell a=8.292 b=8.292 c=8.292 alpha=90.00 beta=90.00 gamma=90.00
Space group Fd-3m (No. 227, origin choice 2)
Inequivalent atoms, fractional coordinates:
Li1 0.000 0.000 0.000 [16 per cell]
Y1 0.125 0.125 0.625 [8 per cell]

Computed properties:
**ΔE_f**: 31 kJ/mol of formula units
**Total energy**: -79.75 eV per cell
**DOS at the Fermi energy**: 22.24 states/eV/cell

10.
The following is a DFT calculation (PBE) of a relaxed structure of NaTlCuF6.

Unit cell a=5.6403 b=5.6403 c=9.5578 alpha=90.00 beta=90.00 gamma=120.00
Space group P-31c (No. 163)
Inequivalent atoms, fractional coordinates:
Na1 0.0000 0.0000 0.0000 [2 per cell]
Tl1 0.3333 0.6667 0.2500 [2 per cell]
Cu1 0.3333 0.6667 0.7500 [2 per cell]
F1 0.0216 0.3646 0.6348 [12 per cell]

Computed properties:
**Total energy**: -72.57 eV per cell
**DOS at the Fermi energy**: 13.89 states/eV/cell
**E_form (uncorrected)**: -185.2 kJ per mole of atoms

11.
The following is a DFT calculation (PBE) of a relaxed structure of SrDyB2O6.

Unit cell a=8.050 b=10.021 c=6.844 alpha=90.00 beta=108.17 gamma=90.00
Space group C2/c (No. 15)
Inequivalent atoms, fractional coordinates:
Sr1 0.000 0.127 0.250 [4 per cell]
Dy1 0.000 0.422 0.750 [4 per cell]
B1 0.242 0.362 0.251 [8 per cell]
O1 0.086 0.383 0.096 [8 per cell]
O2 0.189 0.033 0.623 [8 per cell]
O3 0.191 0.264 0.715 [8 per cell]

Computed properties:
**Total energy**: -307.41 eV per cell
**DOS at the Fermi energy**: 15.71 states/eV/cell
**E_form (uncorrected)**: -265.0 kJ per mole of atoms

12.
The following is a DFT calculation (PBE) of a relaxed structure of Rb3PmNp2O9.

Unit cell a=6.1883 b=6.1883 c=7.5830 alpha=90.00 beta=90.00 gamma=120.00
Space group P-3m1 (No. 164)
Inequivalent atoms, fractional coordinates:
Rb1 0.0000 0.0000 0.0000 [1 per cell]
Rb2 0.3333 0.6667 0.6638 [2 per cell]
Pm1 0.0000 0.0000 0.5000 [1 per cell]
Np1 0.3333 0.6667 0.1625 [2 per cell]
O1 0.0000 0.5000 0.0000 [3 per cell]
O2 0.1784 0.3569 0.3168 [6 per cell]

Computed properties:
**Total energy**: -118.19 eV per cell
**E_form (uncorrected)**: -257.5 kJ per mole of atoms